# 1
Compound: LiAl2Ru
Source: the Alexandria database
Functional: PBE-GGA
Structure: relaxed

The total energy comes out at -5.1135 eV/atom. The volume is 13.71 Å³ per atom. Its energy relative to the elements is -172 kJ/mol of formula units.

The space group is Cm (No. 8) and the conventional cell measures 9.490, 3.142 and 4.066 Å, with angles of 90.00, 115.20 and 90.00 degrees. Symmetry generates all atoms from Li at (0.000, 0.000, 0.000), Al at (0.246, 0.000, 0.747), Al at (0.483, 0.000, 0.483) and Ru at (0.245, 0.500, 0.247).

# 2
Compound: GaPBr2
Source: the Alexandria database
Functional: PBE-GGA
Structure: relaxed

The total energy comes out at -2.6653 eV/atom. The volume is 32.65 Å³ per atom.

The space group is I-42d (No. 122) and the conventional cell measures 5.618, 5.618 and 16.551 Å, with angles of 90.00, 90.00 and 90.00 degrees. Symmetry generates all atoms from Ga at (0.000, 0.000, 0.000), P at (0.000, 0.000, 0.500) and Br at (0.178, 0.250, 0.625).

# 3
Compound: PrZnSnPt3
Source: the Alexandria database
Functional: PBE-GGA
Structure: relaxed

The total energy comes out at -5.2380 eV/atom. The volume is 20.74 Å³ per atom. Its energy relative to the elements is -314 kJ/mol of formula units.

The space group is Cmcm (No. 63) and the conventional cell measures 6.708, 12.507 and 5.933 Å, with angles of 90.00, 90.00 and 90.00 degrees. Symmetry generates all atoms from Pr at (0.000, 0.205, 0.250), Zn at (0.000, 0.445, 0.250), Sn at (0.000, 0.136, 0.750), Pt at (0.000, 0.343, 0.750) and Pt at (0.216, 0.000, 0.000).

# 4
Compound: PmPrNd2
Source: the Alexandria database
Functional: PBE-GGA
Structure: relaxed

The total energy comes out at -4.7544 eV/atom. The volume is 35.32 Å³ per atom. Its energy relative to the elements is 5 kJ/mol of formula units.

The space group is P4/mmm (No. 123) and the conventional cell measures 3.682, 3.682 and 10.421 Å, with angles of 90.00, 90.00 and 90.00 degrees. Symmetry generates all atoms from Pm at (0.000, 0.000, 0.000), Pr at (0.000, 0.000, 0.500) and Nd at (0.500, 0.500, 0.248).